(1)
## AcPd3F9 (PBE)

Data for a relaxed AcPd3F9 crystal.

Cell lengths 8.462, 11.761, 8.891 Å; angles 90.00, 90.00, 90.00 degrees
Space group C222_1 (No. 20)
Symmetry-distinct sites (fractional):
Ac 0.000 0.168 0.250 [4 per cell]
Pd 0.000 0.184 0.750 [4 per cell]
Pd 0.152 0.498 0.334 [8 per cell]
F 0.014 0.500 0.000 [4 per cell]
F 0.040 0.165 0.985 [8 per cell]
F 0.143 0.331 0.349 [8 per cell]
F 0.158 0.019 0.700 [8 per cell]
F 0.177 0.333 0.700 [8 per cell]

* theoretical density: 5.4 g cm⁻³
* uncorrected energy: -4.8089 eV/atom
* calculated volume: 17.01 Å³/atom


(2)
## AcPd3F12 (PBE)

Data for a relaxed AcPd3F12 crystal.

Cell lengths 8.0629, 8.0629, 16.8847 Å; angles 90.00, 90.00, 120.00 degrees
Space group R-3m (No. 166, hexagonal axes)
Symmetry-distinct sites (fractional):
Ac 0.0000 0.0000 0.0000 [3 per cell]
Pd 0.0000 0.5000 0.5000 [9 per cell]
F 0.0118 0.5059 0.3840 [18 per cell]
F 0.1084 0.5542 0.8127 [18 per cell]

* theoretical density: 4.1 g cm⁻³
* uncorrected energy: -4.5939 eV/atom
* calculated volume: 19.80 Å³/atom


(3)
## AcPd2F8 (PBE)

Data for a relaxed AcPd2F8 crystal.

Cell lengths 4.153, 6.639, 6.782 Å; angles 74.93, 72.27, 72.74 degrees
Space group P-1 (No. 2)
Symmetry-distinct sites (fractional):
Ac 0.000 0.000 0.000 [1 per cell]
Pd 0.133 0.367 0.370 [2 per cell]
F 0.136 0.123 0.607 [2 per cell]
F 0.140 0.603 0.125 [2 per cell]
F 0.351 0.646 0.647 [2 per cell]
F 0.361 0.140 0.144 [2 per cell]

* theoretical density: 5.9 g cm⁻³
* uncorrected energy: -4.9442 eV/atom
* calculated volume: 15.19 Å³/atom


(4)
## AcPmF4 (PBE)

Data for a relaxed AcPmF4 crystal.

Cell lengths 3.985, 3.985, 6.803 Å; angles 90.00, 90.00, 90.00 degrees
Space group P4/mmm (No. 123)
Symmetry-distinct sites (fractional):
Ac 0.000 0.000 0.000 [1 per cell]
Pm 0.500 0.500 0.500 [1 per cell]
F 0.000 0.500 0.311 [4 per cell]

* theoretical density: 6.9 g cm⁻³
* uncorrected energy: -6.2085 eV/atom
* calculated volume: 18.01 Å³/atom


Question: Which formula does entry 2 have?
Answer: AcPd3F12


Question: The highest theoretical density belongs to which entry?
Answer: AcPmF4


Question: The highest calculated volume belongs to which entry?
Answer: AcPd3F12